# BaSiB3 (GGA-PBE, relaxed)
data_BaSiB3
_symmetry_space_group_name_H-M 'P m -3 m'
_symmetry_Int_Tables_number 221
_symmetry_space_group_name_Hall '-P 4 2 3'
_cell_length_a 4.2548
_cell_length_b 4.2548
_cell_length_c 4.2548
_cell_angle_alpha 90.00
_cell_angle_beta 90.00
_cell_angle_gamma 90.00
loop_
_atom_site_label
_atom_site_fract_x
_atom_site_fract_y
_atom_site_fract_z
_atom_site_occupancy
Ba1 0.0000 0.0000 0.0000 1
Si1 0.5000 0.5000 0.5000 1
B1 0.0000 0.5000 0.5000 1
# Formation energy (no corrections): 1.07 eV/atom
# Energy above the most stable polymorph in this dataset: 0.0000 eV/atom
# Magnetic moment: 0.00 μB per formula unit
# Density of states at the Fermi level: 2.05 states/eV per cell

# BaHfSbO6 (GGA-PBE, relaxed)
data_BaHfSbO6
_symmetry_space_group_name_H-M 'P -3 1 c'
_symmetry_Int_Tables_number 163
_symmetry_space_group_name_Hall '-P 3 2c'
_cell_length_a 5.5578
_cell_length_b 5.5578
_cell_length_c 11.2819
_cell_angle_alpha 90.00
_cell_angle_beta 90.00
_cell_angle_gamma 120.00
loop_
_atom_site_label
_atom_site_fract_x
_atom_site_fract_y
_atom_site_fract_z
_atom_site_occupancy
Ba1 0.0000 0.0000 0.0000 1
Hf1 0.3333 0.6667 0.2500 1
Sb1 0.3333 0.6667 0.7500 1
O1 0.0107 0.3945 0.6507 1
# Formation energy (no corrections): -2.32 eV/atom
# Magnetic moment: 1.08 μB per formula unit
# Density of states at the Fermi level: 13.71 states/eV per cell

# Cs2BeIrBr6 (GGA-PBE, relaxed)
data_Cs2BeIrBr6
_symmetry_space_group_name_H-M 'I 4/m m m'
_symmetry_Int_Tables_number 139
_symmetry_space_group_name_Hall '-I 4 2'
_cell_length_a 7.1675
_cell_length_b 7.1675
_cell_length_c 11.8142
_cell_angle_alpha 90.00
_cell_angle_beta 90.00
_cell_angle_gamma 90.00
loop_
_atom_site_label
_atom_site_fract_x
_atom_site_fract_y
_atom_site_fract_z
_atom_site_occupancy
Cs1 0.0000 0.5000 0.2500 1
Be1 0.0000 0.0000 0.0000 1
Ir1 0.0000 0.0000 0.5000 1
Br1 0.0000 0.0000 0.2866 1
Br2 0.2367 0.2367 0.0000 1
# Formation energy (no corrections): -0.76 eV/atom
# Magnetic moment: 0.01 μB per formula unit
# Density of states at the Fermi level: 6.37 states/eV per cell

# LiLuHg2 (GGA-PBE, relaxed)
data_LiLuHg2
_symmetry_space_group_name_H-M 'F m -3 m'
_symmetry_Int_Tables_number 225
_symmetry_space_group_name_Hall '-F 4 2 3'
_cell_length_a 6.9945
_cell_length_b 6.9945
_cell_length_c 6.9945
_cell_angle_alpha 90.00
_cell_angle_beta 90.00
_cell_angle_gamma 90.00
loop_
_atom_site_label
_atom_site_fract_x
_atom_site_fract_y
_atom_site_fract_z
_atom_site_occupancy
Li1 0.0000 0.0000 0.0000 1
Lu1 0.0000 0.0000 0.5000 1
Hg1 0.2500 0.2500 0.2500 1
# Energy of formation from the pure elements: -0.415 eV/atom
# Energy above the most stable polymorph in this dataset: 0.0000 eV/atom
# Magnetic moment: 0.00 μB per formula unit
# Density of states at the Fermi level: 5.73 states/eV per cell

# Co2CuTe (GGA-PBE, relaxed)
data_Co2CuTe
_symmetry_space_group_name_H-M 'P 1 m 1'
_symmetry_Int_Tables_number 6
_symmetry_space_group_name_Hall 'P -2y'
_cell_length_a 4.0387
_cell_length_b 4.0979
_cell_length_c 4.5013
_cell_angle_alpha 90.00
_cell_angle_beta 116.17
_cell_angle_gamma 90.00
loop_
_atom_site_label
_atom_site_fract_x
_atom_site_fract_y
_atom_site_fract_z
_atom_site_occupancy
Co1 0.0000 0.0000 0.0000 1
Co2 0.2007 0.5000 0.9016 1
Cu1 0.8613 0.5000 0.2626 1
Te1 0.3309 0.0000 0.6171 1
# Formation energy (no corrections): 0.38 eV/atom
# Magnetic moment: 2.64 μB per formula unit
# Density of states at the Fermi level: 3.33 states/eV per cell

# Sr2AsN2 (GGA-PBE, relaxed)
data_Sr2AsN2
_symmetry_space_group_name_H-M 'C 1 2/m 1'
_symmetry_Int_Tables_number 12
_symmetry_space_group_name_Hall '-C 2y'
_cell_length_a 8.0590
_cell_length_b 4.4728
_cell_length_c 7.0965
_cell_angle_alpha 90.00
_cell_angle_beta 113.20
_cell_angle_gamma 90.00
loop_
_atom_site_label
_atom_site_fract_x
_atom_site_fract_y
_atom_site_fract_z
_atom_site_occupancy
Sr1 0.2461 0.0000 0.2546 1
As1 0.0000 0.0000 0.5000 1
N1 0.0557 0.5000 0.9641 1
# Formation energy (no corrections): -0.67 eV/atom
# Magnetic moment: 0.00 μB per formula unit
# Density of states at the Fermi level: 5.72 states/eV per cell